1.
! HfTi2Ir, optimized geometry, DFT GGA-PBE; values from VASP
&SYSTEM
  ibrav = 0, nat = 8, ntyp = 3
/
ATOMIC_SPECIES
Hf 178.49 Hf.upf
Ti 47.87 Ti.upf
Ir 192.22 Ir.upf
CELL_PARAMETERS angstrom
1.5214 -10.1421 0.0000
1.5214 10.1421 0.0000
0.0000 0.0000 4.6105
ATOMIC_POSITIONS angstrom
Hf 1.5214 7.8198 3.4578
Hf 1.5214 -7.8198 1.1526
Ti 1.5214 5.1063 1.1526
Ti 1.5214 0.4939 3.4578
Ti 1.5214 -0.4939 1.1526
Ti 1.5214 -5.1063 3.4578
Ir 1.5214 2.9962 3.4578
Ir 1.5214 -2.9962 1.1526
! - SG = Cmcm, No. 63
! - energy above the most stable polymorph in this dataset (meV per atom) = 152
! - ρ (g/cm3) = 10.9
! - calculated volume (A^3/atom) = 17.79

2.
! HfTi2Ir2, optimized geometry, DFT GGA-PBE; values from VASP
&SYSTEM
  ibrav = 0, nat = 10, ntyp = 3
/
ATOMIC_SPECIES
Hf 178.49 Hf.upf
Ti 47.87 Ti.upf
Ir 192.22 Ir.upf
CELL_PARAMETERS angstrom
-2.3094 3.6701 5.3335
2.3094 -3.6701 5.3335
2.3094 3.6701 -5.3335
ATOMIC_POSITIONS angstrom
Hf 0.0000 1.8350 1.6419
Hf 2.3094 1.8350 3.6915
Ti 2.3094 -0.3212 1.7120
Ti 2.3094 3.3488 -1.7120
Ti 0.0000 0.3212 7.0455
Ti 0.0000 3.9913 3.6214
Ir 2.3094 -1.8350 3.7884
Ir 2.3094 1.8350 0.3717
Ir 0.0000 1.8350 4.9618
Ir 0.0000 5.5051 1.5451
! - SG = Imma, No. 74
! - energy above the most stable polymorph in this dataset (meV per atom) = 157
! - ρ (g/cm3) = 12.1
! - calculated volume (A^3/atom) = 18.08

3.
! HfTi3Ir, optimized geometry, DFT GGA-PBE; values from VASP
&SYSTEM
  ibrav = 0, nat = 5, ntyp = 3
/
ATOMIC_SPECIES
Hf 178.49 Hf.upf
Ti 47.87 Ti.upf
Ir 192.22 Ir.upf
CELL_PARAMETERS angstrom
4.6643 0.0000 0.0000
0.0000 4.6643 0.0000
0.0000 0.0000 4.6643
ATOMIC_POSITIONS angstrom
Hf 0.0000 0.0000 0.0000
Ti 0.0000 0.0000 2.3321
Ti 0.0000 2.3321 0.0000
Ti 2.3321 0.0000 0.0000
Ir 2.3321 2.3321 2.3321
! - SG = Pm-3m, No. 221
! - energy above the most stable polymorph in this dataset (meV per atom) = 1603
! - ρ (g/cm3) = 8.4
! - calculated volume (A^3/atom) = 20.29

4.
! Hf2TiIr, optimized geometry, DFT GGA-PBE; values from VASP
&SYSTEM
  ibrav = 0, nat = 8, ntyp = 3
/
ATOMIC_SPECIES
Hf 178.49 Hf.upf
Ti 47.87 Ti.upf
Ir 192.22 Ir.upf
CELL_PARAMETERS angstrom
-3.7836 3.7836 2.8489
3.7836 -3.7836 2.8489
3.7836 3.7836 -2.8489
ATOMIC_POSITIONS angstrom
Hf 1.8918 1.6007 -0.7122
Hf 2.1830 -1.8918 3.5612
Hf 1.8918 2.1830 2.1367
Hf 1.6007 5.6755 0.7122
Ti 3.7836 0.0000 1.4245
Ti 0.0000 0.0000 2.8489
Ir 0.0000 0.0000 0.0000
Ir 0.0000 3.7836 1.4245
! - SG = I-42d, No. 122
! - ρ (g/cm3) = 12.2
! - energy (eV per atom) = -9.208
! - calculated volume (A^3/atom) = 20.39

5.
! Hf2TiIr3, optimized geometry, DFT GGA-PBE; values from VASP
&SYSTEM
  ibrav = 0, nat = 12, ntyp = 3
/
ATOMIC_SPECIES
Hf 178.49 Hf.upf
Ti 47.87 Ti.upf
Ir 192.22 Ir.upf
CELL_PARAMETERS angstrom
-2.1726 3.5772 6.4128
2.1726 -3.5772 6.4128
2.1726 3.5772 -6.4128
ATOMIC_POSITIONS angstrom
Hf 0.0000 1.7886 0.1489
Hf 2.1726 1.7886 2.2379
Hf 0.0000 1.7886 4.1749
Hf 2.1726 1.7886 6.2639
Ti 2.1726 1.7886 -2.0840
Ti 0.0000 1.7886 8.4968
Ir 2.1726 0.0000 0.0000
Ir 2.1726 3.3466 -4.2521
Ir 2.1726 -0.2305 4.2521
Ir 0.0000 0.0000 6.4128
Ir 0.0000 3.8077 2.1607
Ir 0.0000 0.2305 10.6650
! - SG = Imma, No. 74
! - ρ (g/cm3) = 16.4
! - energy (eV per atom) = -9.957
! - calculated volume (A^3/atom) = 16.61

6.
! Hf2TiIr, optimized geometry, DFT GGA-PBE; values from VASP
&SYSTEM
  ibrav = 0, nat = 4, ntyp = 3
/
ATOMIC_SPECIES
Hf 178.49 Hf.upf
Ti 47.87 Ti.upf
Ir 192.22 Ir.upf
CELL_PARAMETERS angstrom
4.6437 0.0000 0.0000
0.0000 4.6437 0.0000
0.0000 0.0000 3.3796
ATOMIC_POSITIONS angstrom
Hf 0.0000 2.3219 0.0000
Hf 2.3219 0.0000 0.0000
Ti 0.0000 0.0000 1.6898
Ir 2.3219 2.3219 1.6898
! - SG = P4/mmm, No. 123
! - ρ (g/cm3) = 13.6
! - energy (eV per atom) = -9.650
! - calculated volume (A^3/atom) = 18.22